UMnVIr | PBE | optimized geometry

a = 6.2827 Å, b = 6.2827 Å, c = 6.2827 Å
α = 90.00°, β = 90.00°, γ = 90.00°
Space group F-43m (No. 216)
Asymmetric unit:
U1 0.0000 0.0000 0.0000 [4 per cell]
Mn1 0.2500 0.2500 0.2500 [4 per cell]
V1 0.2500 0.2500 0.7500 [4 per cell]
Ir1 0.0000 0.0000 0.5000 [4 per cell]

Raw total energy in eV/cell: -154.10